1.
Computed, not measured: a relaxed structure of SrZn2In at the PBE level of DFT.

Values from the calculation:
V ... 24.22 A^3/atom
Space group ... P4mm
Final energy ... -7.47 eV/cell
Formation energy from the elements ... -0.5 eV per formula unit
Calculated density ... 5712 kg/m3
N(E_F) ... 1.58 states/eV/cell

abc: 3.5768 3.5768 7.5729
angles: 90.00 90.00 90.00
With the nearest neighbours (Å) after each atom.
Fractional coordinates of all 4 atoms:
1 Sr 0.0000 0.0000 0.0000  5 Zn 3.36-3.39, 4 In 3.53, 4 Sr 3.58
2 Zn 0.0000 0.0000 0.4479  4 Zn 2.79, 4 In 3.06
3 Zn 0.5000 0.5000 0.2925  4 Zn 2.79, 1 In 2.90
4 In 0.5000 0.5000 0.6757  5 Zn 2.90-3.06

***

2.
Computed, not measured: a relaxed structure of ZnGe3B at the PBE level of DFT.

Values from the calculation:
V ... 21.94 A^3/atom
Distance to the lowest polymorph of the same formula ... 778 meV/atom
Space group ... Pm-3m
Final energy ... -14.59 eV/cell
Formation energy from the elements ... 7.2 eV per formula unit
Calculated density ... 4453 kg/m3
N(E_F) ... 3.85 states/eV/cell

abc: 4.7868 4.7868 4.7868
angles: 90.00 90.00 90.00
With the nearest neighbours (Å) after each atom.
Fractional coordinates of all 5 atoms:
1 Zn 0.0000 0.0000 0.0000  6 Ge 2.39
2 Ge 0.0000 0.0000 0.5000  2 Zn 2.39
3 Ge 0.0000 0.5000 0.0000  2 Zn 2.39
4 Ge 0.5000 0.0000 0.0000  2 Zn 2.39
5 B 0.5000 0.5000 0.5000  12 Ge 3.38

***

3.
Computed, not measured: a relaxed structure of PmYTeO6 at the PBE level of DFT.

Values from the calculation:
V ... 14.69 A^3/atom
E_form (uncorrected) ... -2432 meV per atom
Space group ... P-31c
Final energy ... -131.99 eV/cell
Calculated density ... 5746 kg/m3
N(E_F) ... 0.00 states/eV/cell

abc: 5.5990 5.5990 9.7401
angles: 90.00 90.00 120.00
With the nearest neighbours (Å) after each atom.
Fractional coordinates of all 18 atoms:
1 Pm 0.0000 0.0000 0.0000  6 O 2.41
2 Pm 0.0000 0.0000 0.5000  6 O 2.41
3 Y 0.3333 0.6667 0.2500  6 O 2.28
4 Y 0.6667 0.3333 0.7500  6 O 2.28
5 Te 0.3333 0.6667 0.7500  6 O 1.96
6 Te 0.6667 0.3333 0.2500  6 O 1.96
7 O 0.0433 0.3769 0.6372  1 Te 1.96
8 O 0.0433 0.6664 0.8628  1 Te 1.96
9 O 0.3336 0.3769 0.8628  1 Te 1.96
10 O 0.3336 0.9567 0.6372  1 Te 1.96
11 O 0.3769 0.0433 0.1372  1 Te 1.96
12 O 0.3769 0.3336 0.3628  1 Te 1.96
13 O 0.6231 0.6664 0.6372  1 Te 1.96
14 O 0.6231 0.9567 0.8628  1 Te 1.96
15 O 0.6664 0.0433 0.3628  1 Te 1.96
16 O 0.6664 0.6231 0.1372  1 Te 1.96
17 O 0.9567 0.3336 0.1372  1 Te 1.96
18 O 0.9567 0.6231 0.3628  1 Te 1.96